Entry w
The following is a DFT calculation (GGA-PBE) of a relaxed Ho2ThRh3 crystal.

Cell and atoms, written as CIF:
```
data_Ho2ThRh3
_chemical_formula_sum 'Ho4 Th2 Rh6'
_cell_length_a 7.5364
_cell_length_b 7.5364
_cell_length_c 6.8132
_cell_angle_alpha 102.01
_cell_angle_beta 102.01
_cell_angle_gamma 43.62
_space_group_name_H-M_alt 'P 1'
_space_group_IT_number 1
loop_
_space_group_symop_operation_xyz
'x,y,z'
loop_
_atom_site_label
_atom_site_fract_x
_atom_site_fract_y
_atom_site_fract_z
_atom_site_occupancy
Ho1 0.0750 0.2815 0.1437 1
Ho2 0.2815 0.0750 0.6437 1
Ho3 0.7185 0.9250 0.3563 1
Ho4 0.9250 0.7185 0.8563 1
Th1 0.3715 0.6285 0.2500 1
Th2 0.6285 0.3715 0.7500 1
Rh1 0.1101 0.8899 0.7500 1
Rh2 0.2418 0.4400 0.4912 1
Rh3 0.4400 0.2418 0.9912 1
Rh4 0.5600 0.7582 0.0088 1
Rh5 0.7582 0.5600 0.5088 1
Rh6 0.8899 0.1101 0.2500 1
```

Computed properties:
- Spin magnetization: 0.000 μB/cell
- N(E_F): 6.03 states/eV per cell

Entry x
The following is a DFT calculation (GGA-PBE) of a relaxed Ho2ThRh3 crystal.

Cell and atoms, written as CIF:
```
data_Ho2ThRh3
_chemical_formula_sum 'Ho2 Th1 Rh3'
_cell_length_a 4.9131
_cell_length_b 4.9131
_cell_length_c 6.0038
_cell_angle_alpha 90.00
_cell_angle_beta 90.00
_cell_angle_gamma 120.00
_space_group_name_H-M_alt 'P 1'
_space_group_IT_number 1
loop_
_space_group_symop_operation_xyz
'x,y,z'
loop_
_atom_site_label
_atom_site_fract_x
_atom_site_fract_y
_atom_site_fract_z
_atom_site_occupancy
Ho1 0.3333 0.6667 0.1550 1
Ho2 0.6667 0.3333 0.8450 1
Th1 0.0000 0.0000 0.5000 1
Rh1 0.0000 0.0000 0.0000 1
Rh2 0.3333 0.6667 0.6542 1
Rh3 0.6667 0.3333 0.3458 1
```

Computed properties:
- Spin magnetization: 0.000 μB/cell
- N(E_F): 1.85 states/eV per cell

Energetically preferred structure: entry x | next structure: +40 meV per atom

Entry w
The following is a DFT calculation (GGA-PBE) of a relaxed Ho2TlRh crystal.

Cell and atoms, written as CIF:
```
data_Ho2TlRh
_chemical_formula_sum 'Ho2 Tl1 Rh1'
_cell_length_a 5.0922
_cell_length_b 5.0922
_cell_length_c 5.0922
_cell_angle_alpha 60.00
_cell_angle_beta 60.00
_cell_angle_gamma 60.00
_space_group_name_H-M_alt 'P 1'
_space_group_IT_number 1
loop_
_space_group_symop_operation_xyz
'x,y,z'
loop_
_atom_site_label
_atom_site_fract_x
_atom_site_fract_y
_atom_site_fract_z
_atom_site_occupancy
Ho1 0.2500 0.2500 0.2500 1
Ho2 0.7500 0.7500 0.7500 1
Tl1 0.0000 0.0000 0.0000 1
Rh1 0.5000 0.5000 0.5000 1
```

Computed properties:
- Spin magnetization: 0.000 μB/cell
- N(E_F): 1.42 states/eV per cell

Entry x
The following is a DFT calculation (GGA-PBE) of a relaxed Ho2TlRh crystal.

Cell and atoms, written as CIF:
```
data_Ho2TlRh
_chemical_formula_sum 'Ho2 Tl1 Rh1'
_cell_length_a 3.5222
_cell_length_b 3.5222
_cell_length_c 7.5671
_cell_angle_alpha 90.00
_cell_angle_beta 90.00
_cell_angle_gamma 90.00
_space_group_name_H-M_alt 'P 1'
_space_group_IT_number 1
loop_
_space_group_symop_operation_xyz
'x,y,z'
loop_
_atom_site_label
_atom_site_fract_x
_atom_site_fract_y
_atom_site_fract_z
_atom_site_occupancy
Ho1 0.0000 0.0000 0.2152 1
Ho2 0.0000 0.0000 0.7848 1
Tl1 0.5000 0.5000 0.5000 1
Rh1 0.5000 0.5000 0.0000 1
```

Computed properties:
- Spin magnetization: 0.000 μB/cell
- N(E_F): 1.45 states/eV per cell

Energetically preferred structure: entry x | next structure: +122 meV per atom

Entry w
The following is a DFT calculation (GGA-PBE) of a relaxed Ho2TlRh crystal.

Cell and atoms, written as CIF:
```
data_Ho2TlRh
_chemical_formula_sum 'Ho2 Tl1 Rh1'
_cell_length_a 8.4808
_cell_length_b 8.4808
_cell_length_c 8.4808
_cell_angle_alpha 26.24
_cell_angle_beta 26.24
_cell_angle_gamma 26.24
_space_group_name_H-M_alt 'P 1'
_space_group_IT_number 1
loop_
_space_group_symop_operation_xyz
'x,y,z'
loop_
_atom_site_label
_atom_site_fract_x
_atom_site_fract_y
_atom_site_fract_z
_atom_site_occupancy
Ho1 0.2329 0.2329 0.2329 1
Ho2 0.7671 0.7671 0.7671 1
Tl1 0.0000 0.0000 0.0000 1
Rh1 0.5000 0.5000 0.5000 1
```

Computed properties:
- Spin magnetization: 0.000 μB/cell
- N(E_F): 2.51 states/eV per cell

Entry x
The following is a DFT calculation (GGA-PBE) of a relaxed Ho2TlRh crystal.

Cell and atoms, written as CIF:
```
data_Ho2TlRh
_chemical_formula_sum 'Ho2 Tl1 Rh1'
_cell_length_a 8.4414
_cell_length_b 8.4414
_cell_length_c 8.4414
_cell_angle_alpha 26.66
_cell_angle_beta 26.66
_cell_angle_gamma 26.66
_space_group_name_H-M_alt 'P 1'
_space_group_IT_number 1
loop_
_space_group_symop_operation_xyz
'x,y,z'
loop_
_atom_site_label
_atom_site_fract_x
_atom_site_fract_y
_atom_site_fract_z
_atom_site_occupancy
Ho1 0.0000 0.0000 0.0000 1
Ho2 0.2034 0.2034 0.2034 1
Tl1 0.4350 0.4350 0.4350 1
Rh1 0.6011 0.6011 0.6011 1
```

Computed properties:
- Spin magnetization: 0.000 μB/cell
- N(E_F): 2.08 states/eV per cell

Energetically preferred structure: entry w | next structure: +18 meV per atom

Entry w
The following is a DFT calculation (GGA-PBE) of a relaxed Ho4TlRh crystal.

Cell and atoms, written as CIF:
```
data_Ho4TlRh
_chemical_formula_sum 'Ho8 Tl2 Rh2'
_cell_length_a 7.7979
_cell_length_b 7.7979
_cell_length_c 6.0711
_cell_angle_alpha 99.52
_cell_angle_beta 99.52
_cell_angle_gamma 111.74
_space_group_name_H-M_alt 'P 1'
_space_group_IT_number 1
loop_
_space_group_symop_operation_xyz
'x,y,z'
loop_
_atom_site_label
_atom_site_fract_x
_atom_site_fract_y
_atom_site_fract_z
_atom_site_occupancy
Ho1 0.0611 0.7207 0.9512 1
Ho2 0.2040 0.3629 0.6086 1
Ho3 0.2793 0.9389 0.5488 1
Ho4 0.3629 0.2040 0.1086 1
Ho5 0.6371 0.7960 0.8914 1
Ho6 0.7207 0.0611 0.4512 1
Ho7 0.7960 0.6371 0.3914 1
Ho8 0.9389 0.2793 0.0488 1
Tl1 0.3768 0.6232 0.2500 1
Tl2 0.6232 0.3768 0.7500 1
Rh1 0.0005 0.9995 0.2500 1
Rh2 0.9995 0.0005 0.7500 1
```

Computed properties:
- Spin magnetization: 0.000 μB/cell
- N(E_F): 11.11 states/eV per cell

Entry x
The following is a DFT calculation (GGA-PBE) of a relaxed Ho4TlRh crystal.

Cell and atoms, written as CIF:
```
data_Ho4TlRh
_chemical_formula_sum 'Ho16 Tl4 Rh4'
_cell_length_a 9.6268
_cell_length_b 9.6268
_cell_length_c 9.6268
_cell_angle_alpha 60.00
_cell_angle_beta 60.00
_cell_angle_gamma 60.00
_space_group_name_H-M_alt 'P 1'
_space_group_IT_number 1
loop_
_space_group_symop_operation_xyz
'x,y,z'
loop_
_atom_site_label
_atom_site_fract_x
_atom_site_fract_y
_atom_site_fract_z
_atom_site_occupancy
Ho1 0.0495 0.6502 0.6502 1
Ho2 0.0610 0.0610 0.4390 1
Ho3 0.0610 0.4390 0.0610 1
Ho4 0.0610 0.4390 0.4390 1
Ho5 0.1891 0.1891 0.8109 1
Ho6 0.1891 0.8109 0.1891 1
Ho7 0.1891 0.8109 0.8109 1
Ho8 0.4390 0.0610 0.0610 1
Ho9 0.4390 0.0610 0.4390 1
Ho10 0.4390 0.4390 0.0610 1
Ho11 0.6502 0.0495 0.6502 1
Ho12 0.6502 0.6502 0.0495 1
Ho13 0.6502 0.6502 0.6502 1
Ho14 0.8109 0.1891 0.1891 1
Ho15 0.8109 0.1891 0.8109 1
Ho16 0.8109 0.8109 0.1891 1
Tl1 0.4140 0.4140 0.4140 1
Tl2 0.4140 0.4140 0.7579 1
Tl3 0.4140 0.7579 0.4140 1
Tl4 0.7579 0.4140 0.4140 1
Rh1 0.4273 0.8576 0.8576 1
Rh2 0.8576 0.4273 0.8576 1
Rh3 0.8576 0.8576 0.4273 1
Rh4 0.8576 0.8576 0.8576 1
```

Computed properties:
- Spin magnetization: 0.000 μB/cell
- N(E_F): 15.12 states/eV per cell

Energetically preferred structure: entry x | next structure: +66 meV per atom

Entry w
The following is a DFT calculation (GGA-PBE) of a relaxed Ho5Tl4Rh crystal.

Cell and atoms, written as CIF:
```
data_Ho5Tl4Rh
_chemical_formula_sum 'Ho5 Tl4 Rh1'
_cell_length_a 7.5830
_cell_length_b 7.5830
_cell_length_c 7.5830
_cell_angle_alpha 98.30
_cell_angle_beta 98.30
_cell_angle_gamma 135.34
_space_group_name_H-M_alt 'P 1'
_space_group_IT_number 1
loop_
_space_group_symop_operation_xyz
'x,y,z'
loop_
_atom_site_label
_atom_site_fract_x
_atom_site_fract_y
_atom_site_fract_z
_atom_site_occupancy
Ho1 0.0000 0.0000 0.0000 1
Ho2 0.2675 0.6301 0.8996 1
Ho3 0.3679 0.2675 0.6374 1
Ho4 0.6301 0.7305 0.3626 1
Ho5 0.7305 0.3679 0.1004 1
Tl1 0.0501 0.3423 0.3943 1
Tl2 0.3423 0.9479 0.2921 1
Tl3 0.6558 0.0501 0.7079 1
Tl4 0.9479 0.6558 0.6057 1
Rh1 0.5001 0.5001 0.0000 1
```

Computed properties:
- Spin magnetization: 0.000 μB/cell
- N(E_F): 9.92 states/eV per cell

Entry x
The following is a DFT calculation (GGA-PBE) of a relaxed Ho5Tl4Rh crystal.

Cell and atoms, written as CIF:
```
data_Ho5Tl4Rh
_chemical_formula_sum 'Ho5 Tl4 Rh1'
_cell_length_a 3.5059
_cell_length_b 3.5059
_cell_length_c 20.7335
_cell_angle_alpha 90.00
_cell_angle_beta 90.00
_cell_angle_gamma 90.00
_space_group_name_H-M_alt 'P 1'
_space_group_IT_number 1
loop_
_space_group_symop_operation_xyz
'x,y,z'
loop_
_atom_site_label
_atom_site_fract_x
_atom_site_fract_y
_atom_site_fract_z
_atom_site_occupancy
Ho1 0.0000 0.0000 0.0000 1
Ho2 0.0000 0.0000 0.2084 1
Ho3 0.0000 0.0000 0.4202 1
Ho4 0.0000 0.0000 0.5798 1
Ho5 0.0000 0.0000 0.7916 1
Tl1 0.5000 0.5000 0.1039 1
Tl2 0.5000 0.5000 0.3118 1
Tl3 0.5000 0.5000 0.6882 1
Tl4 0.5000 0.5000 0.8961 1
Rh1 0.5000 0.5000 0.5000 1
```

Computed properties:
- Spin magnetization: 0.448 μB/cell
- N(E_F): 7.08 states/eV per cell

Energetically preferred structure: entry x | next structure: +176 meV per atom

Entry w
The following is a DFT calculation (GGA-PBE) of a relaxed Ho5Tl2Rh crystal.

Cell and atoms, written as CIF:
```
data_Ho5Tl2Rh
_chemical_formula_sum 'Ho10 Tl4 Rh2'
_cell_length_a 7.3903
_cell_length_b 12.2848
_cell_length_c 4.7355
_cell_angle_alpha 90.00
_cell_angle_beta 90.00
_cell_angle_gamma 90.00
_space_group_name_H-M_alt 'P 1'
_space_group_IT_number 1
loop_
_space_group_symop_operation_xyz
'x,y,z'
loop_
_atom_site_label
_atom_site_fract_x
_atom_site_fract_y
_atom_site_fract_z
_atom_site_occupancy
Ho1 0.0000 0.0000 0.0000 1
Ho2 0.1338 0.2922 0.0000 1
Ho3 0.1800 0.5782 0.5000 1
Ho4 0.3200 0.0782 0.5000 1
Ho5 0.3662 0.7922 0.0000 1
Ho6 0.5000 0.5000 0.0000 1
Ho7 0.6338 0.2078 0.0000 1
Ho8 0.6800 0.9218 0.5000 1
Ho9 0.8200 0.4218 0.5000 1
Ho10 0.8662 0.7078 0.0000 1
Tl1 0.0858 0.8344 0.5000 1
Tl2 0.4142 0.3344 0.5000 1
Tl3 0.5858 0.6656 0.5000 1
Tl4 0.9142 0.1656 0.5000 1
Rh1 0.0000 0.5000 0.0000 1
Rh2 0.5000 0.0000 0.0000 1
```

Computed properties:
- Spin magnetization: 0.000 μB/cell
- N(E_F): 12.58 states/eV per cell

Entry x
The following is a DFT calculation (GGA-PBE) of a relaxed Ho5Tl2Rh crystal.

Cell and atoms, written as CIF:
```
data_Ho5Tl2Rh
_chemical_formula_sum 'Ho10 Tl4 Rh2'
_cell_length_a 8.6543
_cell_length_b 8.6543
_cell_length_c 12.4046
_cell_angle_alpha 90.00
_cell_angle_beta 90.00
_cell_angle_gamma 143.62
_space_group_name_H-M_alt 'P 1'
_space_group_IT_number 1
loop_
_space_group_symop_operation_xyz
'x,y,z'
loop_
_atom_site_label
_atom_site_fract_x
_atom_site_fract_y
_atom_site_fract_z
_atom_site_occupancy
Ho1 0.0765 0.9235 0.6020 1
Ho2 0.0765 0.9235 0.8980 1
Ho3 0.2915 0.7085 0.2500 1
Ho4 0.2985 0.7015 0.5720 1
Ho5 0.2985 0.7015 0.9280 1
Ho6 0.7015 0.2985 0.0720 1
Ho7 0.7015 0.2985 0.4280 1
Ho8 0.7085 0.2915 0.7500 1
Ho9 0.9235 0.0765 0.1020 1
Ho10 0.9235 0.0765 0.3980 1
Tl1 0.1139 0.8861 0.1319 1
Tl2 0.1139 0.8861 0.3681 1
Tl3 0.8861 0.1139 0.6319 1
Tl4 0.8861 0.1139 0.8681 1
Rh1 0.1940 0.8060 0.7500 1
Rh2 0.8060 0.1940 0.2500 1
```

Computed properties:
- Spin magnetization: 0.000 μB/cell
- N(E_F): 19.09 states/eV per cell

Energetically preferred structure: entry w | next structure: +381 meV per atom